(1)
Compound: Rb2RuPbCl6
Source: the Alexandria database
Functional: PBE
Structure: relaxed

```
data_Rb2RuPbCl6
_cell_length_a 10.512
_cell_length_b 10.512
_cell_length_c 10.512
_cell_angle_alpha 90.00
_cell_angle_beta 90.00
_cell_angle_gamma 90.00
_space_group_name_H-M_alt 'F m -3 m'
_space_group_IT_number 225
_space_group_name_Hall '-F 4 2 3'
loop_
_atom_site_label
_atom_site_type_symbol
_atom_site_fract_x
_atom_site_fract_y
_atom_site_fract_z
Rb1 Rb 0.250 0.250 0.250
Ru1 Ru 0.000 0.000 0.000
Pb1 Pb 0.000 0.000 0.500
Cl1 Cl 0.000 0.000 0.230
```


(2)
# RbPbSCl2 PBE relaxed
data_RbPbSCl2
_cell_length_a 5.813
_cell_length_b 5.813
_cell_length_c 6.001
_cell_angle_alpha 90.00
_cell_angle_beta 90.00
_cell_angle_gamma 90.00
_space_group_name_H-M_alt 'P 4/m m m'
_space_group_IT_number 123
_space_group_name_Hall '-P 4 2'
loop_
_atom_site_label
_atom_site_type_symbol
_atom_site_fract_x
_atom_site_fract_y
_atom_site_fract_z
Rb1 Rb 0.000 0.000 0.000
Pb1 Pb 0.500 0.500 0.500
S1 S 0.000 0.000 0.500
Cl1 Cl 0.000 0.500 0.000
# **Energy above the lowest structure with this stoichiometry**: 882.8 meV per atom


E in eV per atom, matching the order above: -3.77; -2.62
Energy relative to the elements, uncorrected in eV per atom, matching the order above: -1.1714; -0.1208